P | The following is a GGA-PBE calculation of PmZn2Au2 after structural relaxation, from Alexandria.

Unit cell a=4.7330 b=4.7330 c=5.5220 alpha=111.79 beta=111.79 gamma=95.10
With the nearest neighbours (Å) after each atom.
Positions (direct):
Pm 0.0000 0.0000 0.0000  8 Au 3.19-3.43, 6 Zn 3.32-3.51
Zn 0.3917 0.3917 0.7388  1 Zn 2.42, 4 Au 2.61-2.63
Zn 0.6083 0.6083 0.2612  1 Zn 2.42, 4 Au 2.61-2.63
Au 0.2278 0.7722 0.5000  4 Zn 2.61-2.63
Au 0.7722 0.2278 0.5000  4 Zn 2.61-2.63



Q | The following is a GGA-PBE calculation of PmZn2Au2 after structural relaxation, from Alexandria.

Unit cell a=6.9337 b=6.9337 c=6.9337 alpha=146.21 beta=146.21 gamma=48.54
With the nearest neighbours (Å) after each atom.
Positions (direct):
Pm 0.0000 0.0000 0.0000  8 Au 3.18
Zn 0.2500 0.7500 0.5000  4 Au 2.68, 4 Zn 2.85
Zn 0.7500 0.2500 0.5000  4 Au 2.68, 4 Zn 2.85
Au 0.3892 0.3892 0.0000  4 Zn 2.68, 1 Au 2.80
Au 0.6108 0.6108 0.0000  4 Zn 2.68, 1 Au 2.80



Name the most stable of them. Q.



P | The following is a GGA-PBE calculation of PmZrAu2 after structural relaxation, from Alexandria.

Unit cell a=8.0555 b=8.0555 c=8.0555 alpha=27.72 beta=27.72 gamma=27.72
With the nearest neighbours (Å) after each atom.
Positions (direct):
Pm 0.0000 0.0000 0.0000  6 Au 3.08
Zr 0.5000 0.5000 0.5000  6 Au 2.83
Au 0.2419 0.2419 0.2419  3 Zr 2.83, 3 Pm 3.08
Au 0.7581 0.7581 0.7581  3 Zr 2.83, 3 Pm 3.08



Q | The following is a GGA-PBE calculation of PmZrAu2 after structural relaxation, from Alexandria.

Unit cell a=5.0423 b=5.0423 c=5.0423 alpha=60.00 beta=60.00 gamma=60.00
With the nearest neighbours (Å) after each atom.
Positions (direct):
Pm 0.0000 0.0000 0.0000  8 Au 3.09
Zr 0.5000 0.5000 0.5000  8 Au 3.09
Au 0.2500 0.2500 0.2500  4 Zr 3.09, 4 Pm 3.09
Au 0.7500 0.7500 0.7500  4 Zr 3.09, 4 Pm 3.09



R | The following is a GGA-PBE calculation of PmZrAu2 after structural relaxation, from Alexandria.

Unit cell a=3.5042 b=3.5042 c=7.3462 alpha=90.00 beta=90.00 gamma=90.00
With the nearest neighbours (Å) after each atom.
Positions (direct):
Pm 0.0000 0.0000 0.0000  8 Au 3.23, 4 Pm 3.50
Zr 0.0000 0.0000 0.5000  8 Au 2.95
Au 0.5000 0.5000 0.2828  4 Zr 2.95, 1 Au 3.19, 4 Pm 3.23
Au 0.5000 0.5000 0.7172  4 Zr 2.95, 1 Au 3.19, 4 Pm 3.23



Name the most stable of them. R.



P | The following is a GGA-PBE calculation of Pr2Au3 after structural relaxation, from Alexandria.

Unit cell a=8.9679 b=8.9679 c=8.9679 alpha=109.47 beta=109.47 gamma=109.47
With the nearest neighbours (Å) after each atom.
Positions (direct):
Pr 0.0000 0.0787 0.5000  6 Au 3.04-3.07
Pr 0.0000 0.5787 0.5000  6 Au 3.04-3.07
Pr 0.0787 0.5000 0.0000  6 Au 3.04-3.07
Pr 0.4213 0.4213 0.4213  6 Au 3.04-3.07
Pr 0.5000 0.0000 0.0787  6 Au 3.04-3.07
Pr 0.5000 0.0000 0.5787  6 Au 3.04-3.07
Pr 0.5787 0.5000 0.0000  6 Au 3.04-3.07
Pr 0.9213 0.9213 0.9213  6 Au 3.04-3.07
Au 0.0101 0.2500 0.2601  1 Au 2.80, 4 Pr 3.04-3.07
Au 0.2399 0.4899 0.7500  1 Au 2.80, 4 Pr 3.04-3.07
Au 0.2500 0.2601 0.0101  1 Au 2.80, 4 Pr 3.04-3.07
Au 0.2500 0.9899 0.7399  1 Au 2.80, 4 Pr 3.04-3.07
Au 0.2601 0.0101 0.2500  1 Au 2.80, 4 Pr 3.04-3.07
Au 0.4899 0.7500 0.2399  1 Au 2.80, 4 Pr 3.04-3.07
Au 0.5101 0.7601 0.7500  1 Au 2.80, 4 Pr 3.04-3.07
Au 0.7399 0.2500 0.9899  1 Au 2.80, 4 Pr 3.04-3.07
Au 0.7500 0.2399 0.4899  1 Au 2.80, 4 Pr 3.04-3.07
Au 0.7500 0.5101 0.7601  1 Au 2.80, 4 Pr 3.04-3.07
Au 0.7601 0.7500 0.5101  1 Au 2.80, 4 Pr 3.04-3.07
Au 0.9899 0.7399 0.2500  1 Au 2.80, 4 Pr 3.04-3.07



Q | The following is a GGA-PBE calculation of Pr2Au3 after structural relaxation, from Alexandria.

Unit cell a=14.4190 b=14.4190 c=4.7167 alpha=90.00 beta=90.00 gamma=164.91
With the nearest neighbours (Å) after each atom.
Positions (direct):
Pr 0.0713 0.9287 0.7500  12 Au 3.31-3.66
Pr 0.2045 0.7955 0.2500  7 Au 3.07-3.28
Pr 0.7955 0.2045 0.7500  7 Au 3.07-3.28
Pr 0.9287 0.0713 0.2500  12 Au 3.31-3.66
Au 0.3190 0.6810 0.2500  2 Au 2.93, 5 Pr 3.10-3.28
Au 0.3801 0.6199 0.7500  3 Au 2.74-2.93
Au 0.4759 0.5241 0.7500  3 Au 2.73-2.74
Au 0.5241 0.4759 0.2500  3 Au 2.73-2.74
Au 0.6199 0.3801 0.2500  3 Au 2.74-2.93
Au 0.6810 0.3190 0.7500  2 Au 2.93, 5 Pr 3.10-3.28



Name the most stable of them. Q.



P | The following is a GGA-PBE calculation of Pr4PtAu after structural relaxation, from Alexandria.

Unit cell a=8.3955 b=8.3955 c=6.6026 alpha=106.65 beta=106.65 gamma=113.70
With the nearest neighbours (Å) after each atom.
Positions (direct):
Pr 0.0601 0.6926 0.9091  2 Au 3.14-3.28, 2 Pt 3.17-3.26
Pr 0.2234 0.3566 0.7096  2 Pt 2.94-2.98, 2 Au 3.16-3.26
Pr 0.3074 0.9399 0.5909  2 Au 3.14-3.28, 2 Pt 3.17-3.26
Pr 0.3566 0.2234 0.2096  2 Pt 2.94-2.98, 2 Au 3.16-3.26
Pr 0.6434 0.7766 0.7904  2 Pt 2.94-2.98, 2 Au 3.16-3.26
Pr 0.6926 0.0601 0.4091  2 Au 3.14-3.28, 2 Pt 3.17-3.26
Pr 0.7766 0.6434 0.2904  2 Pt 2.94-2.98, 2 Au 3.16-3.26
Pr 0.9399 0.3074 0.0909  2 Au 3.14-3.28, 2 Pt 3.17-3.26
Pt 0.0035 0.9965 0.7500  8 Pr 2.94-3.26
Pt 0.9965 0.0035 0.2500  8 Pr 2.94-3.26
Au 0.3730 0.6270 0.2500  8 Pr 3.14-3.28
Au 0.6270 0.3730 0.7500  8 Pr 3.14-3.28



Q | The following is a GGA-PBE calculation of Pr4PtAu after structural relaxation, from Alexandria.

Unit cell a=7.2197 b=7.2197 c=6.7970 alpha=90.00 beta=90.00 gamma=90.00
With the nearest neighbours (Å) after each atom.
Positions (direct):
Pr 0.1713 0.3164 0.0000  2 Pt 3.10, 2 Au 3.21
Pr 0.1713 0.6836 0.5000  2 Pt 3.10, 2 Au 3.21
Pr 0.3164 0.1713 0.5000  2 Pt 3.10, 2 Au 3.21
Pr 0.3164 0.8287 0.0000  2 Pt 3.10, 2 Au 3.21
Pr 0.6836 0.1713 0.0000  2 Pt 3.10, 2 Au 3.21
Pr 0.6836 0.8287 0.5000  2 Pt 3.10, 2 Au 3.21
Pr 0.8287 0.3164 0.5000  2 Pt 3.10, 2 Au 3.21
Pr 0.8287 0.6836 0.0000  2 Pt 3.10, 2 Au 3.21
Pt 0.0000 0.0000 0.2500  8 Pr 3.10, 2 Pt 3.40
Pt 0.0000 0.0000 0.7500  8 Pr 3.10, 2 Pt 3.40
Au 0.5000 0.5000 0.2500  8 Pr 3.21, 2 Au 3.40
Au 0.5000 0.5000 0.7500  8 Pr 3.21, 2 Au 3.40



Name the most stable of them. Q.



P | The following is a GGA-PBE calculation of Pr8PtAu2 after structural relaxation, from Alexandria.

Unit cell a=9.5745 b=9.5745 c=7.1067 alpha=99.75 beta=99.75 gamma=31.57
With the nearest neighbours (Å) after each atom.
Positions (direct):
Pr 0.0265 0.0265 0.2774  1 Au 3.07, 2 Pt 3.13
Pr 0.2027 0.2027 0.8340  1 Au 2.98
Pr 0.3390 0.3390 0.5270  1 Pt 3.01, 3 Au 3.08-3.16
Pr 0.4118 0.4118 0.0539  1 Pt 3.30, 5 Pr 3.47-3.55, 2 Au 3.68
Pr 0.5882 0.5882 0.9461  1 Pt 3.30, 5 Pr 3.47-3.55, 2 Au 3.68
Pr 0.6610 0.6610 0.4730  1 Pt 3.01, 3 Au 3.08-3.16
Pr 0.7973 0.7973 0.1660  1 Au 2.98
Pr 0.9735 0.9735 0.7226  1 Au 3.07, 2 Pt 3.13
Pt 0.5000 0.5000 0.5000  8 Pr 3.01-3.30
Au 0.1908 0.1908 0.2471  5 Pr 2.98-3.16
Au 0.8092 0.8092 0.7529  5 Pr 2.98-3.16



Q | The following is a GGA-PBE calculation of Pr8PtAu2 after structural relaxation, from Alexandria.

Unit cell a=9.4047 b=9.4047 c=6.3775 alpha=104.10 beta=104.10 gamma=131.30
With the nearest neighbours (Å) after each atom.
Positions (direct):
Pr 0.0000 0.0000 0.0000  1 Pt 2.92
Pr 0.2164 0.9568 0.6369  1 Pt 2.90, 2 Au 3.04-3.14
Pr 0.4179 0.6414 0.3135  1 Pt 3.04, 2 Au 3.11-3.22
Pr 0.4684 0.4684 0.7528  1 Pt 2.93
Pr 0.5713 0.9540 0.9588  3 Au 3.20-3.33, 1 Pr 3.49
Pr 0.6414 0.4179 0.3135  1 Pt 3.04, 2 Au 3.11-3.22
Pr 0.9540 0.5713 0.9588  3 Au 3.20-3.33, 1 Pr 3.49
Pr 0.9568 0.2164 0.6369  1 Pt 2.90, 2 Au 3.04-3.14
Pt 0.8298 0.8298 0.3045  6 Pr 2.90-3.04
Au 0.0516 0.5035 0.4198  7 Pr 3.04-3.33
Au 0.5035 0.0516 0.4198  7 Pr 3.04-3.33



Name the most stable of them. P.



P | The following is a GGA-PBE calculation of PrPtAu2 after structural relaxation, from Alexandria.

Unit cell a=4.4084 b=7.6955 c=5.5570 alpha=90.00 beta=113.35 gamma=90.00
With the nearest neighbours (Å) after each atom.
Positions (direct):
Pr 0.0762 0.2500 0.1517  3 Pt 3.00-3.05, 6 Au 3.27-3.34
Pr 0.9238 0.7500 0.8483  3 Pt 3.00-3.05, 6 Au 3.27-3.34
Pt 0.2171 0.7500 0.4358  6 Au 2.81, 3 Pr 3.00-3.05
Pt 0.7829 0.2500 0.5642  6 Au 2.81, 3 Pr 3.00-3.05
Au 0.3693 0.0558 0.7379  3 Pt 2.81, 2 Au 2.81-2.99
Au 0.3693 0.4442 0.7379  3 Pt 2.81, 2 Au 2.81-2.99
Au 0.6307 0.5558 0.2621  3 Pt 2.81, 2 Au 2.81-2.99
Au 0.6307 0.9442 0.2621  3 Pt 2.81, 2 Au 2.81-2.99



Q | The following is a GGA-PBE calculation of PrPtAu2 after structural relaxation, from Alexandria.

Unit cell a=7.4080 b=7.4080 c=5.3217 alpha=99.67 beta=99.67 gamma=137.80
With the nearest neighbours (Å) after each atom.
Positions (direct):
Pr 0.1344 0.8656 0.7500  4 Pt 3.10-3.11, 8 Au 3.15-3.31
Pr 0.8656 0.1344 0.2500  4 Pt 3.10-3.11, 8 Au 3.15-3.31
Pt 0.2494 0.7506 0.2500  2 Pt 2.75, 4 Au 2.81-2.89
Pt 0.7506 0.2494 0.7500  2 Pt 2.75, 4 Au 2.81-2.89
Au 0.2435 0.4005 0.9037  3 Au 2.75-3.04, 2 Pt 2.81-2.89
Au 0.4005 0.2435 0.4037  3 Au 2.75-3.04, 2 Pt 2.81-2.89
Au 0.5995 0.7565 0.5963  3 Au 2.75-3.04, 2 Pt 2.81-2.89
Au 0.7565 0.5995 0.0963  3 Au 2.75-3.04, 2 Pt 2.81-2.89



Name the most stable of them. Q.